<P>
{
  "formula": "Nd2Dy4Sc",
  "functional": "PBE-GGA",
  "state": "optimized geometry",
  "dos_at_fermi_per_ev_cell": 8.40,
  "volume_a3_per_atom": 35.7,
  "density_g_cm3": 6.536,
  "space_group": "I4/mmm",
  "cell": [[-2.683, 2.683, 8.679], [2.683, -2.683, 8.679], [2.683, 2.683, -8.679]],
  "species": ["Nd", "Nd", "Dy", "Dy", "Dy", "Dy", "Sc"],
  "frac_coords": [[0.127, 0.127, 0.000], [0.873, 0.873, 0.000], [0.000, 0.500, 0.500], [0.325, 0.325, 0.000], [0.500, 0.000, 0.500], [0.675, 0.675, 0.000], [0.500, 0.500, 0.000]]
}



<Q>
{
  "formula": "Nd2Dy4Sc",
  "functional": "PBE-GGA",
  "state": "optimized geometry",
  "dos_at_fermi_per_ev_cell": 19.48,
  "volume_a3_per_atom": 32.3,
  "density_g_cm3": 7.230,
  "space_group": "C2/c",
  "cell": [[3.360, -6.036, 0.000], [3.360, 6.036, 0.000], [-0.011, 0.000, 11.137]],
  "species": ["Nd", "Nd", "Nd", "Nd", "Dy", "Dy", "Dy", "Dy", "Dy", "Dy", "Dy", "Dy", "Sc", "Sc"],
  "frac_coords": [[0.036, 0.964, 0.750], [0.324, 0.676, 0.750], [0.676, 0.324, 0.250], [0.964, 0.036, 0.250], [0.221, 0.779, 0.045], [0.221, 0.779, 0.455], [0.280, 0.280, 0.000], [0.280, 0.280, 0.500], [0.720, 0.720, 0.000], [0.720, 0.720, 0.500], [0.779, 0.221, 0.545], [0.779, 0.221, 0.955], [0.399, 0.601, 0.250], [0.601, 0.399, 0.750]]
}



Result of the stability comparison: <Q> is the most stable of them.



<P>
{
  "formula": "Nd2Dy4Sc3",
  "functional": "PBE-GGA",
  "state": "optimized geometry",
  "dos_at_fermi_per_ev_cell": 25.30,
  "volume_a3_per_atom": 29.8,
  "density_g_cm3": 6.650,
  "space_group": "C2/c",
  "cell": [[7.819, -5.694, 0.000], [7.819, 5.694, 0.000], [-0.587, 0.000, 6.021]],
  "species": ["Nd", "Nd", "Nd", "Nd", "Dy", "Dy", "Dy", "Dy", "Dy", "Dy", "Dy", "Dy", "Sc", "Sc", "Sc", "Sc", "Sc", "Sc"],
  "frac_coords": [[0.028, 0.738, 0.677], [0.262, 0.972, 0.823], [0.738, 0.028, 0.177], [0.972, 0.262, 0.323], [0.079, 0.355, 0.844], [0.312, 0.588, 0.990], [0.355, 0.079, 0.344], [0.412, 0.688, 0.510], [0.588, 0.312, 0.490], [0.645, 0.921, 0.656], [0.688, 0.412, 0.010], [0.921, 0.645, 0.156], [0.104, 0.896, 0.250], [0.233, 0.435, 0.413], [0.435, 0.233, 0.913], [0.565, 0.767, 0.087], [0.767, 0.565, 0.587], [0.896, 0.104, 0.750]]
}



<Q>
{
  "formula": "Nd2Dy4Sc3",
  "functional": "PBE-GGA",
  "state": "optimized geometry",
  "dos_at_fermi_per_ev_cell": 13.45,
  "volume_a3_per_atom": 30.3,
  "density_g_cm3": 6.537,
  "space_group": "P3m1",
  "cell": [[3.509, 0.000, 0.000], [-1.754, 3.039, 0.000], [0.000, 0.000, 25.571]],
  "species": ["Nd", "Nd", "Dy", "Dy", "Dy", "Dy", "Sc", "Sc", "Sc"],
  "frac_coords": [[0.000, 0.000, 0.000], [0.000, 0.000, 0.214], [0.000, 0.000, 0.353], [0.000, 0.000, 0.559], [0.333, 0.667, 0.673], [0.333, 0.667, 0.881], [0.000, 0.000, 0.777], [0.333, 0.667, 0.109], [0.333, 0.667, 0.455]]
}



Result of the stability comparison: <Q> is the most stable of them.



<P>
{
  "formula": "NdDySc",
  "functional": "PBE-GGA",
  "state": "optimized geometry",
  "dos_at_fermi_per_ev_cell": 4.82,
  "volume_a3_per_atom": 30.3,
  "density_g_cm3": 6.425,
  "space_group": "I4mm",
  "cell": [[-1.762, 1.762, 7.316], [1.762, -1.762, 7.316], [1.762, 1.762, -7.316]],
  "species": ["Nd", "Dy", "Sc"],
  "frac_coords": [[0.000, 0.000, 0.000], [0.322, 0.322, 0.000], [0.663, 0.663, 0.000]]
}



<Q>
{
  "formula": "NdDySc",
  "functional": "PBE-GGA",
  "state": "optimized geometry",
  "dos_at_fermi_per_ev_cell": 9.73,
  "volume_a3_per_atom": 30.3,
  "density_g_cm3": 6.415,
  "space_group": "P2_1/m",
  "cell": [[3.455, 0.000, 0.000], [0.000, 5.266, 0.000], [-1.728, 0.000, 10.007]],
  "species": ["Nd", "Nd", "Dy", "Dy", "Sc", "Sc"],
  "frac_coords": [[0.205, 0.250, 0.409], [0.795, 0.750, 0.591], [0.392, 0.250, 0.784], [0.608, 0.750, 0.216], [0.039, 0.250, 0.077], [0.961, 0.750, 0.923]]
}



Result of the stability comparison: <Q> is the most stable of them.



<P>
{
  "formula": "NdDy5Sc4",
  "functional": "PBE-GGA",
  "state": "optimized geometry",
  "dos_at_fermi_per_ev_cell": 31.78,
  "volume_a3_per_atom": 30.5,
  "density_g_cm3": 6.186,
  "space_group": "Pmmn",
  "cell": [[10.146, 0.000, 0.000], [0.000, 11.167, 0.000], [0.000, 0.000, 5.386]],
  "species": ["Nd", "Nd", "Dy", "Dy", "Dy", "Dy", "Dy", "Dy", "Dy", "Dy", "Dy", "Dy", "Sc", "Sc", "Sc", "Sc", "Sc", "Sc", "Sc", "Sc"],
  "frac_coords": [[0.250, 0.250, 0.249], [0.750, 0.750, 0.751], [0.051, 0.048, 0.250], [0.051, 0.452, 0.250], [0.250, 0.750, 0.749], [0.449, 0.048, 0.250], [0.449, 0.452, 0.250], [0.551, 0.548, 0.750], [0.551, 0.952, 0.750], [0.750, 0.250, 0.251], [0.949, 0.548, 0.750], [0.949, 0.952, 0.750], [0.003, 0.250, 0.750], [0.250, 0.057, 0.750], [0.250, 0.443, 0.750], [0.497, 0.250, 0.750], [0.503, 0.750, 0.250], [0.750, 0.557, 0.250], [0.750, 0.943, 0.250], [0.997, 0.750, 0.250]]
}



<Q>
{
  "formula": "NdDy5Sc4",
  "functional": "PBE-GGA",
  "state": "optimized geometry",
  "dos_at_fermi_per_ev_cell": 15.89,
  "volume_a3_per_atom": 29.9,
  "density_g_cm3": 6.319,
  "space_group": "I4",
  "cell": [[-4.916, 4.916, 3.090], [4.916, -4.916, 3.090], [4.916, 4.916, -3.090]],
  "species": ["Nd", "Dy", "Dy", "Dy", "Dy", "Dy", "Sc", "Sc", "Sc", "Sc"],
  "frac_coords": [[0.000, 0.000, 0.000], [0.027, 0.126, 0.607], [0.126, 0.518, 0.099], [0.420, 0.027, 0.901], [0.518, 0.420, 0.393], [0.544, 0.544, 0.000], [0.129, 0.827, 0.416], [0.411, 0.713, 0.584], [0.713, 0.129, 0.302], [0.827, 0.411, 0.698]]
}



Result of the stability comparison: <P> is the most stable of them.



<P>
{
  "formula": "NdDy3Sc6",
  "functional": "PBE-GGA",
  "state": "optimized geometry",
  "dos_at_fermi_per_ev_cell": 21.24,
  "volume_a3_per_atom": 28.1,
  "density_g_cm3": 5.329,
  "space_group": "R32",
  "cell": [[4.647, 2.683, 3.754], [-4.647, 2.683, 3.754], [0.000, -5.366, 3.754]],
  "species": ["Nd", "Dy", "Dy", "Dy", "Sc", "Sc", "Sc", "Sc", "Sc", "Sc"],
  "frac_coords": [[0.000, 0.000, 0.000], [0.252, 0.252, 0.252], [0.500, 0.500, 0.500], [0.748, 0.748, 0.748], [0.000, 0.332, 0.668], [0.172, 0.828, 0.500], [0.332, 0.668, 0.000], [0.500, 0.172, 0.828], [0.668, 0.000, 0.332], [0.828, 0.500, 0.172]]
}



<Q>
{
  "formula": "NdDy3Sc6",
  "functional": "PBE-GGA",
  "state": "optimized geometry",
  "dos_at_fermi_per_ev_cell": 27.91,
  "volume_a3_per_atom": 27.7,
  "density_g_cm3": 5.411,
  "space_group": "Cmc2_1",
  "cell": [[5.239, -8.965, 0.000], [5.239, 8.965, 0.000], [0.000, 0.000, 5.890]],
  "species": ["Nd", "Nd", "Dy", "Dy", "Dy", "Dy", "Dy", "Dy", "Sc", "Sc", "Sc", "Sc", "Sc", "Sc", "Sc", "Sc", "Sc", "Sc", "Sc", "Sc"],
  "frac_coords": [[0.215, 0.785, 0.500], [0.785, 0.215, 0.000], [0.075, 0.283, 0.285], [0.283, 0.075, 0.785], [0.400, 0.600, 0.383], [0.600, 0.400, 0.883], [0.717, 0.925, 0.285], [0.925, 0.717, 0.785], [0.014, 0.448, 0.676], [0.050, 0.950, 0.247], [0.272, 0.381, 0.825], [0.300, 0.700, 0.946], [0.381, 0.272, 0.325], [0.448, 0.014, 0.176], [0.552, 0.986, 0.676], [0.619, 0.728, 0.825], [0.700, 0.300, 0.446], [0.728, 0.619, 0.325], [0.950, 0.050, 0.747], [0.986, 0.552, 0.176]]
}



Result of the stability comparison: <Q> is the most stable of them.



<P>
{
  "formula": "Nd4Dy5Sc",
  "functional": "PBE-GGA",
  "state": "optimized geometry",
  "dos_at_fermi_per_ev_cell": 16.50,
  "volume_a3_per_atom": 32.4,
  "density_g_cm3": 7.345,
  "space_group": "C2/m",
  "cell": [[8.845, -1.740, 0.000], [8.845, 1.740, 0.000], [-3.279, 0.000, 10.536]],
  "species": ["Nd", "Nd", "Nd", "Nd", "Dy", "Dy", "Dy", "Dy", "Dy", "Sc"],
  "frac_coords": [[0.089, 0.089, 0.304], [0.305, 0.305, 0.415], [0.695, 0.695, 0.585], [0.911, 0.911, 0.696], [0.106, 0.106, 0.789], [0.207, 0.207, 0.097], [0.500, 0.500, 0.000], [0.793, 0.793, 0.903], [0.894, 0.894, 0.211], [0.500, 0.500, 0.500]]
}



<Q>
{
  "formula": "Nd4Dy5Sc",
  "functional": "PBE-GGA",
  "state": "optimized geometry",
  "dos_at_fermi_per_ev_cell": 13.59,
  "volume_a3_per_atom": 33.4,
  "density_g_cm3": 7.129,
  "space_group": "I4mm",
  "cell": [[-5.329, 5.329, 2.942], [5.329, -5.329, 2.942], [5.329, 5.329, -2.942]],
  "species": ["Nd", "Nd", "Nd", "Nd", "Dy", "Dy", "Dy", "Dy", "Dy", "Sc"],
  "frac_coords": [[0.000, 0.322, 0.322], [0.000, 0.678, 0.678], [0.322, 0.000, 0.322], [0.678, 0.000, 0.678], [0.237, 0.237, 0.000], [0.336, 0.336, 0.628], [0.336, 0.708, 0.000], [0.708, 0.336, 0.000], [0.708, 0.708, 0.372], [0.764, 0.764, 0.000]]
}



Result of the stability comparison: <P> is the most stable of them.



<P>
{
  "formula": "Nd2Dy6Sc",
  "functional": "PBE-GGA",
  "state": "optimized geometry",
  "dos_at_fermi_per_ev_cell": 18.44,
  "volume_a3_per_atom": 32.6,
  "density_g_cm3": 7.397,
  "space_group": "C2/m",
  "cell": [[8.830, -4.926, 0.000], [8.830, 4.926, 0.000], [-0.654, 0.000, 3.376]],
  "species": ["Nd", "Nd", "Dy", "Dy", "Dy", "Dy", "Dy", "Dy", "Sc"],
  "frac_coords": [[0.167, 0.167, 0.166], [0.833, 0.833, 0.834], [0.152, 0.520, 0.337], [0.200, 0.800, 0.000], [0.480, 0.848, 0.663], [0.520, 0.152, 0.337], [0.800, 0.200, 0.000], [0.848, 0.480, 0.663], [0.500, 0.500, 0.500]]
}



<Q>
{
  "formula": "Nd2Dy6Sc",
  "functional": "PBE-GGA",
  "state": "optimized geometry",
  "dos_at_fermi_per_ev_cell": 26.03,
  "volume_a3_per_atom": 31.5,
  "density_g_cm3": 7.668,
  "space_group": "C2/c",
  "cell": [[8.168, -5.765, 0.000], [8.168, 5.765, 0.000], [-0.725, 0.000, 6.017]],
  "species": ["Nd", "Nd", "Nd", "Nd", "Dy", "Dy", "Dy", "Dy", "Dy", "Dy", "Dy", "Dy", "Dy", "Dy", "Dy", "Dy", "Sc", "Sc"],
  "frac_coords": [[0.068, 0.275, 0.062], [0.275, 0.068, 0.562], [0.725, 0.932, 0.438], [0.932, 0.725, 0.938], [0.093, 0.809, 0.489], [0.159, 0.433, 0.636], [0.191, 0.907, 0.011], [0.259, 0.526, 0.172], [0.433, 0.159, 0.136], [0.474, 0.741, 0.328], [0.526, 0.259, 0.672], [0.567, 0.841, 0.864], [0.741, 0.474, 0.828], [0.809, 0.093, 0.989], [0.841, 0.567, 0.364], [0.907, 0.191, 0.511], [0.397, 0.603, 0.750], [0.603, 0.397, 0.250]]
}



Result of the stability comparison: <Q> is the most stable of them.



<P>
{
  "formula": "NdDy3Sc3",
  "functional": "PBE-GGA",
  "state": "optimized geometry",
  "dos_at_fermi_per_ev_cell": 11.71,
  "volume_a3_per_atom": 30.4,
  "density_g_cm3": 5.983,
  "space_group": "R3m",
  "cell": [[5.267, 3.041, 2.214], [-5.267, 3.041, 2.214], [0.000, -6.081, 2.214]],
  "species": ["Nd", "Dy", "Dy", "Dy", "Sc", "Sc", "Sc"],
  "frac_coords": [[0.000, 0.000, 0.000], [0.079, 0.497, 0.497], [0.497, 0.079, 0.497], [0.497, 0.497, 0.079], [0.519, 0.996, 0.996], [0.996, 0.519, 0.996], [0.996, 0.996, 0.519]]
}



<Q>
{
  "formula": "NdDy3Sc3",
  "functional": "PBE-GGA",
  "state": "optimized geometry",
  "dos_at_fermi_per_ev_cell": 24.57,
  "volume_a3_per_atom": 30.2,
  "density_g_cm3": 6.027,
  "space_group": "R-3",
  "cell": [[4.173, 2.409, 7.003], [-4.173, 2.409, 7.003], [0.000, -4.819, 7.003]],
  "species": ["Nd", "Nd", "Dy", "Dy", "Dy", "Dy", "Dy", "Dy", "Sc", "Sc", "Sc", "Sc", "Sc", "Sc"],
  "frac_coords": [[0.151, 0.151, 0.151], [0.849, 0.849, 0.849], [0.069, 0.566, 0.223], [0.223, 0.069, 0.566], [0.434, 0.777, 0.931], [0.566, 0.223, 0.069], [0.777, 0.931, 0.434], [0.931, 0.434, 0.777], [0.224, 0.667, 0.437], [0.333, 0.563, 0.776], [0.437, 0.224, 0.667], [0.563, 0.776, 0.333], [0.667, 0.437, 0.224], [0.776, 0.333, 0.563]]
}



Result of the stability comparison: <Q> is the most stable of them.



<P>
{
  "formula": "Nd7Dy12Sc",
  "functional": "PBE-GGA",
  "state": "optimized geometry",
  "dos_at_fermi_per_ev_cell": 29.96,
  "volume_a3_per_atom": 36.3,
  "density_g_cm3": 6.882,
  "space_group": "Im-3m",
  "cell": [[-5.659, 5.659, 5.659], [5.659, -5.659, 5.659], [5.659, 5.659, -5.659]],
  "species": ["Nd", "Nd", "Nd", "Nd", "Nd", "Nd", "Nd", "Dy", "Dy", "Dy", "Dy", "Dy", "Dy", "Dy", "Dy", "Dy", "Dy", "Dy", "Dy", "Sc"],
  "frac_coords": [[0.000, 0.000, 0.500], [0.000, 0.500, 0.000], [0.000, 0.500, 0.500], [0.500, 0.000, 0.000], [0.500, 0.000, 0.500], [0.500, 0.500, 0.000], [0.500, 0.500, 0.500], [0.000, 0.242, 0.758], [0.000, 0.758, 0.242], [0.242, 0.000, 0.758], [0.242, 0.242, 0.484], [0.242, 0.484, 0.242], [0.242, 0.758, 0.000], [0.484, 0.242, 0.242], [0.516, 0.758, 0.758], [0.758, 0.000, 0.242], [0.758, 0.242, 0.000], [0.758, 0.516, 0.758], [0.758, 0.758, 0.516], [0.000, 0.000, 0.000]]
}



<Q>
{
  "formula": "Nd7Dy12Sc",
  "functional": "PBE-GGA",
  "state": "optimized geometry",
  "dos_at_fermi_per_ev_cell": 33.08,
  "volume_a3_per_atom": 33.2,
  "density_g_cm3": 7.515,
  "space_group": "R-3",
  "cell": [[6.310, 3.643, 4.813], [-6.310, 3.643, 4.813], [0.000, -7.287, 4.813]],
  "species": ["Nd", "Nd", "Nd", "Nd", "Nd", "Nd", "Nd", "Dy", "Dy", "Dy", "Dy", "Dy", "Dy", "Dy", "Dy", "Dy", "Dy", "Dy", "Dy", "Sc"],
  "frac_coords": [[0.000, 0.000, 0.000], [0.130, 0.377, 0.449], [0.377, 0.449, 0.130], [0.449, 0.130, 0.377], [0.551, 0.870, 0.623], [0.623, 0.551, 0.870], [0.870, 0.623, 0.551], [0.040, 0.337, 0.941], [0.059, 0.960, 0.663], [0.214, 0.760, 0.364], [0.240, 0.636, 0.786], [0.337, 0.941, 0.040], [0.364, 0.214, 0.760], [0.636, 0.786, 0.240], [0.663, 0.059, 0.960], [0.760, 0.364, 0.214], [0.786, 0.240, 0.636], [0.941, 0.040, 0.337], [0.960, 0.663, 0.059], [0.500, 0.500, 0.500]]
}



Result of the stability comparison: <Q> is the most stable of them.



<P>
{
  "formula": "NdDyThSc",
  "functional": "PBE-GGA",
  "state": "optimized geometry",
  "dos_at_fermi_per_ev_cell": 6.24,
  "volume_a3_per_atom": 30.7,
  "density_g_cm3": 7.890,
  "space_group": "R3m",
  "cell": [[1.774, 1.024, 11.270], [-1.774, 1.024, 11.270], [0.000, -2.048, 11.270]],
  "species": ["Nd", "Dy", "Th", "Sc"],
  "frac_coords": [[0.000, 0.000, 0.000], [0.756, 0.756, 0.756], [0.172, 0.172, 0.172], [0.584, 0.584, 0.584]]
}



<Q>
{
  "formula": "NdDyThSc",
  "functional": "PBE-GGA",
  "state": "optimized geometry",
  "dos_at_fermi_per_ev_cell": 7.24,
  "volume_a3_per_atom": 30.8,
  "density_g_cm3": 7.862,
  "space_group": "F-43m",
  "cell": [[0.000, 3.950, 3.950], [3.950, 0.000, 3.950], [3.950, 3.950, 0.000]],
  "species": ["Nd", "Dy", "Th", "Sc"],
  "frac_coords": [[0.000, 0.000, 0.000], [0.250, 0.250, 0.250], [0.500, 0.500, 0.500], [0.750, 0.750, 0.750]]
}



Result of the stability comparison: <P> is the most stable of them.